Compound: Ac8Cu2Rh
Source: the Alexandria database
Functional: PBE-GGA
Structure: relaxed

Values from the calculation:
polymorph energy (0 for the lowest one): 77 meV per atom
energy of formation from the pure elements: -92.2 meV per atom

abc: 5.508 7.346 10.026
angles: 100.89 105.94 90.00
Element x y z (fractional)
1 Ac 0.966 0.209 0.931
2 Ac 0.663 0.972 0.325
3 Cu 0.809 0.252 0.617
4 Ac 0.205 0.342 0.410
5 Ac 0.412 0.567 0.825
6 Rh 0.500 0.000 0.000
7 Ac 0.588 0.433 0.175
8 Ac 0.337 0.028 0.675
9 Ac 0.795 0.658 0.590
10 Ac 0.034 0.791 0.069
11 Cu 0.191 0.748 0.383

Compound: Ac3Cu2Rh7
Source: the Alexandria database
Functional: PBE-GGA
Structure: relaxed

Values from the calculation:
energy of formation from the pure elements: -458.2 meV per atom

abc: 5.488 5.488 9.271
angles: 72.78 72.78 60.00
Element x y z (fractional)
1 Ac 0.861 0.861 0.417
2 Rh 0.418 0.418 0.241
3 Rh 0.500 0.500 0.500
4 Cu 0.666 0.666 0.001
5 Ac 0.000 0.000 0.000
6 Rh 0.582 0.078 0.759
7 Rh 0.582 0.582 0.759
8 Cu 0.334 0.334 0.999
9 Rh 0.418 0.922 0.241
10 Rh 0.922 0.418 0.241
11 Ac 0.139 0.139 0.583
12 Rh 0.078 0.582 0.759

Compound: AcCu5Rh2
Source: the Alexandria database
Functional: PBE-GGA
Structure: relaxed

Values from the calculation:
energy of formation from the pure elements: -62.3 meV per atom

abc: 3.953 6.192 6.192
angles: 71.69 71.39 71.39
Element x y z (fractional)
1 Ac 0.000 0.000 0.000
2 Rh 0.270 0.230 0.230
3 Cu 0.358 0.472 0.812
4 Cu 0.358 0.812 0.472
5 Cu 0.000 0.500 0.500
6 Rh 0.730 0.770 0.770
7 Cu 0.642 0.188 0.528
8 Cu 0.642 0.528 0.188